Record 1
VASP calculation (GGA-PBE) on a relaxed structure of ScCoSb4.

The structure in POSCAR format:
```
ScCoSb4
1.0
0.000 4.303 4.303
4.303 0.000 4.303
4.303 4.303 0.000
Sc Co Sb
1 1 4
Direct
0.000 0.000 0.000
0.750 0.750 0.750
0.375 0.375 0.375
0.375 0.375 0.874
0.375 0.874 0.375
0.874 0.375 0.375
```

Calculated values
**Final energy**: -4.40 eV per atom
**Energy relative to the elements, uncorrected**: 0.590 eV per atom
**Spin magnetization**: 1.4 μB per cell

Record 2
VASP calculation (GGA-PBE) on a relaxed structure of Nd2ScSe3.

The structure in POSCAR format:
```
Nd2ScSe3
1.0
-1.953 2.485 7.983
1.953 -2.485 7.983
1.953 2.485 -7.983
Nd Sc Se
2 1 3
Direct
0.144 0.144 0.000
0.856 0.856 0.000
0.500 0.500 0.000
0.000 0.500 0.500
0.331 0.331 0.000
0.669 0.669 0.000
```

Calculated values
**Excess energy over the best structure of this formula in the dataset**: 15.6 kJ per mole of atoms
**Final energy**: -5.96 eV per atom
**Energy relative to the elements, uncorrected**: -1.575 eV per atom
**Spin magnetization**: 0.0 μB per cell